A relaxed structure of CdSbRuI2. Source: Alexandria, functional GGA-PBE.

The calculation puts the polymorph energy (0 for the lowest one) at 879 meV per atom.

The space group is P4/mmm (No. 123) and the conventional cell measures 5.819, 5.819 and 5.641 Å, with angles of 90.00, 90.00 and 90.00 degrees. Symmetry generates all atoms from Cd at (0.000, 0.000, 0.000), Sb at (0.000, 0.000, 0.500), Ru at (0.500, 0.500, 0.500) and I at (0.000, 0.500, 0.000).


A relaxed structure of MnCl2. Source: Alexandria, functional GGA-PBE.

The space group is P6_3/mmc (No. 194) and the conventional cell measures 4.2030, 4.2030 and 8.7116 Å, with angles of 90.00, 90.00 and 120.00 degrees. Symmetry generates all atoms from Mn at (0.3333, 0.6667, 0.2500), Cl at (0.0000, 0.0000, 0.0000) and Cl at (0.3333, 0.6667, 0.7500).


Number 1: density of states at the Fermi level 5.13 states/eV/cell, E_tot -0.166 Ry per atom. Number 2: density of states at the Fermi level 0.00 states/eV/cell, E_tot -0.362 Ry per atom.